Record 1
Compound: BaU2Te5
Source: Alexandria
Functional: PBE
Structure: optimized geometry

space-group type = I4/mcm (140)

The structure in POSCAR format:
```
BaU2Te5
1.0
9.5901 0.0119 0.0000
2.4026 9.2843 0.0000
-5.9963 -4.6481 5.8659
Ba Te U
2 10 4
direct
0.7500 0.7500 0.0000
0.2500 0.2500 0.0000
0.0000 0.0000 0.0000
0.2163 0.0164 0.5000
0.5000 0.5000 0.0000
0.7163 0.2163 0.1999
0.4836 0.2837 0.5000
0.2837 0.7837 0.8001
0.9836 0.4836 0.1999
0.0164 0.5164 0.8001
0.5164 0.7163 0.5000
0.7837 0.9836 0.5000
0.6500 0.1500 0.8000
0.3500 0.8500 0.2000
0.1500 0.3500 0.5000
0.8500 0.6500 0.5000
```

Record 2
Compound: BaUTe2
Source: Alexandria
Functional: PBE
Structure: optimized geometry

space-group type = R-3m (166)

The structure in POSCAR format:
```
BaUTe2
1.0
4.5319 0.0000 0.0000
2.2659 3.9247 0.0000
2.2659 1.3082 8.0437
U Ba Te
1 1 2
direct
0.0000 0.0000 0.0000
0.5000 0.5000 0.5000
0.7400 0.7400 0.7800
0.2600 0.2600 0.2200
```

Record 3
Compound: Ba2UTe6
Source: Alexandria
Functional: PBE
Structure: optimized geometry

space-group type = Amm2 (38)

The structure in POSCAR format:
```
Ba2UTe6
1.0
4.4767 0.0000 0.0000
0.0000 8.5906 0.0000
0.0000 -4.2953 8.3487
Te Ba U
6 2 1
direct
0.0000 0.2783 0.0000
0.0000 0.9818 0.2154
0.0000 0.7664 0.7846
0.5000 0.9673 0.6257
0.5000 0.6781 0.0000
0.5000 0.3415 0.3743
0.0000 0.6544 0.3572
0.0000 0.2972 0.6428
0.5000 0.0351 0.0000
```

Number 1: spin magnetization 3.997 μB/f.u., density 7.960 g/cm3, formation energy (no corrections) -0.950 eV per atom. Number 2: spin magnetization 3.363 μB/f.u., density 7.319 g/cm3, formation energy (no corrections) -1.004 eV per atom. Number 3: spin magnetization 1.307 μB/f.u., density 6.611 g/cm3, formation energy (no corrections) -0.915 eV per atom.